(1)
Here is a geometry-optimized Pr2YCu6 structure from Alexandria via LeMat-Bulk. Energies are from PBE-GGA.

It has space group P6/mmm (No. 191), with a = 7.4046 Å, b = 7.4046 Å, c = 3.7439 Å, α = 90.00°, β = 90.00° and γ = 120.00°. The distinct sites, in fractional coordinates, are Pr at (0.3333, 0.6667, 0.0000), Y at (0.0000, 0.0000, 0.0000) and Cu at (0.0000, 0.3307, 0.5000).

(2)
Here is a geometry-optimized Pr2YCu structure from Alexandria via LeMat-Bulk. Energies are from PBE-GGA.

It has space group R3m (No. 160, hexagonal axes), with a = 3.7301 Å, b = 3.7301 Å, c = 30.2196 Å, α = 90.00°, β = 90.00° and γ = 120.00°. The distinct sites, in fractional coordinates, are Pr at (0.0000, 0.0000, 0.0000), Pr at (0.0000, 0.0000, 0.1948), Y at (0.0000, 0.0000, 0.7647) and Cu at (0.0000, 0.0000, 0.5971).

(3)
Here is a geometry-optimized Pr2YCu structure from Alexandria via LeMat-Bulk. Energies are from PBE-GGA.

It has space group P2_1/m (No. 11), with a = 4.9781 Å, b = 7.9240 Å, c = 6.3864 Å, α = 90.00°, β = 112.88° and γ = 90.00°. The distinct sites, in fractional coordinates, are Pr at (0.1437, 0.0316, 0.2882), Y at (0.4558, 0.2500, 0.9113) and Cu at (0.2982, 0.7500, 0.5923).

(4)
Here is a geometry-optimized PrYCu2 structure from Alexandria via LeMat-Bulk. Energies are from PBE-GGA.

It has space group Pm (No. 6), with a = 3.8781 Å, b = 4.5172 Å, c = 5.5982 Å, α = 90.00°, β = 109.76° and γ = 90.00°. The distinct sites, in fractional coordinates, are Pr at (0.0000, 0.0000, 0.0000), Y at (0.2825, 0.5000, 0.5657), Cu at (0.5798, 0.5000, 0.1556) and Cu at (0.7108, 0.0000, 0.4257).

(5)
Here is a geometry-optimized PrYCu4 structure from Alexandria via LeMat-Bulk. Energies are from PBE-GGA.

It has space group F-43m (No. 216), with a = 7.5471 Å, b = 7.5471 Å, c = 7.5471 Å, α = 90.00°, β = 90.00° and γ = 90.00°. The distinct sites, in fractional coordinates, are Pr at (0.0000, 0.0000, 0.0000), Y at (0.2500, 0.2500, 0.7500) and Cu at (0.1240, 0.1240, 0.3760).

(6)
Here is a geometry-optimized Pr3YCu4 structure from Alexandria via LeMat-Bulk. Energies are from PBE-GGA.

It has space group P4/mmm (No. 123), with a = 3.5733 Å, b = 3.5733 Å, c = 14.4279 Å, α = 90.00°, β = 90.00° and γ = 90.00°. The distinct sites, in fractional coordinates, are Pr at (0.0000, 0.0000, 0.0000), Pr at (0.0000, 0.0000, 0.2545), Y at (0.0000, 0.0000, 0.5000), Cu at (0.5000, 0.5000, 0.1271) and Cu at (0.5000, 0.5000, 0.3879).

(7)
Here is a geometry-optimized Pr2YCu structure from Alexandria via LeMat-Bulk. Energies are from PBE-GGA.

It has space group P4/mmm (No. 123), with a = 3.6668 Å, b = 3.6668 Å, c = 8.6961 Å, α = 90.00°, β = 90.00° and γ = 90.00°. The distinct sites, in fractional coordinates, are Pr at (0.0000, 0.0000, 0.2014), Y at (0.5000, 0.5000, 0.5000) and Cu at (0.5000, 0.5000, 0.0000).

(8)
Here is a geometry-optimized Pr4YCu5 structure from Alexandria via LeMat-Bulk. Energies are from PBE-GGA.

It has space group P4/mmm (No. 123), with a = 3.5713 Å, b = 3.5713 Å, c = 18.1553 Å, α = 90.00°, β = 90.00° and γ = 90.00°. The distinct sites, in fractional coordinates, are Pr at (0.0000, 0.0000, 0.1012), Pr at (0.0000, 0.0000, 0.3044), Y at (0.0000, 0.0000, 0.5000), Cu at (0.5000, 0.5000, 0.0000), Cu at (0.5000, 0.5000, 0.2016) and Cu at (0.5000, 0.5000, 0.4102).

(9)
Here is a geometry-optimized Pr2YCu structure from Alexandria via LeMat-Bulk. Energies are from PBE-GGA.

It has space group R-3m (No. 166, hexagonal axes), with a = 3.5693 Å, b = 3.5693 Å, c = 33.3886 Å, α = 90.00°, β = 90.00° and γ = 120.00°. The distinct sites, in fractional coordinates, are Pr at (0.0000, 0.0000, 0.1028), Y at (0.0000, 0.0000, 0.0000) and Cu at (0.0000, 0.0000, 0.5000).

(10)
Here is a geometry-optimized PrYCu2 structure from Alexandria via LeMat-Bulk. Energies are from PBE-GGA.

It has space group P4/mmm (No. 123), with a = 3.5342 Å, b = 3.5342 Å, c = 7.1536 Å, α = 90.00°, β = 90.00° and γ = 90.00°. The distinct sites, in fractional coordinates, are Pr at (0.0000, 0.0000, 0.0000), Y at (0.0000, 0.0000, 0.5000) and Cu at (0.5000, 0.5000, 0.2710).

(11)
Here is a geometry-optimized PrYCu2 structure from Alexandria via LeMat-Bulk. Energies are from PBE-GGA.

It has space group Fm-3m (No. 225), with a = 7.1129 Å, b = 7.1129 Å, c = 7.1129 Å, α = 90.00°, β = 90.00° and γ = 90.00°. The distinct sites, in fractional coordinates, are Pr at (0.0000, 0.0000, 0.0000), Y at (0.0000, 0.0000, 0.5000) and Cu at (0.2500, 0.2500, 0.2500).

(12)
Here is a geometry-optimized PrY4Cu5 structure from Alexandria via LeMat-Bulk. Energies are from PBE-GGA.

It has space group P4/mmm (No. 123), with a = 3.4880 Å, b = 3.4880 Å, c = 17.7656 Å, α = 90.00°, β = 90.00° and γ = 90.00°. The distinct sites, in fractional coordinates, are Pr at (0.0000, 0.0000, 0.0000), Y at (0.0000, 0.0000, 0.2046), Y at (0.0000, 0.0000, 0.4014), Cu at (0.5000, 0.5000, 0.1107), Cu at (0.5000, 0.5000, 0.3026) and Cu at (0.5000, 0.5000, 0.5000).

(13)
Here is a geometry-optimized Pr2YCu2 structure from Alexandria via LeMat-Bulk. Energies are from PBE-GGA.

It has space group P2_1/m (No. 11), with a = 5.6077 Å, b = 4.4484 Å, c = 10.9067 Å, α = 90.00°, β = 94.64° and γ = 90.00°. The distinct sites, in fractional coordinates, are Pr at (0.1057, 0.2500, 0.3780), Pr at (0.2522, 0.2500, 0.0500), Y at (0.3976, 0.2500, 0.7100), Cu at (0.2367, 0.7500, 0.8533) and Cu at (0.3885, 0.7500, 0.5251).

(14)
Here is a geometry-optimized PrY3Cu structure from Alexandria via LeMat-Bulk. Energies are from PBE-GGA.

It has space group Pm-3m (No. 221), with a = 5.4218 Å, b = 5.4218 Å, c = 5.4218 Å, α = 90.00°, β = 90.00° and γ = 90.00°. The distinct sites, in fractional coordinates, are Pr at (0.0000, 0.0000, 0.0000), Y at (0.0000, 0.5000, 0.5000) and Cu at (0.5000, 0.5000, 0.5000).

(15)
Here is a geometry-optimized Pr2YCu3 structure from Alexandria via LeMat-Bulk. Energies are from PBE-GGA.

It has space group Cmmm (No. 65), with a = 5.0267 Å, b = 15.1250 Å, c = 7.2308 Å, α = 90.00°, β = 90.00° and γ = 90.00°. The distinct sites, in fractional coordinates, are Pr at (0.0000, 0.0000, 0.0000), Pr at (0.0000, 0.0000, 0.5000), Pr at (0.0000, 0.3338, 0.0000), Y at (0.0000, 0.3322, 0.5000), Cu at (0.0000, 0.1710, 0.2668) and Cu at (0.0000, 0.5000, 0.2602).

(16)
Here is a geometry-optimized PrYCu4 structure from Alexandria via LeMat-Bulk. Energies are from PBE-GGA.

It has space group Imm2 (No. 44), with a = 4.3320 Å, b = 7.0465 Å, c = 7.4312 Å, α = 90.00°, β = 90.00° and γ = 90.00°. The distinct sites, in fractional coordinates, are Pr at (0.0000, 0.0000, 0.0000), Y at (0.0000, 0.5000, 0.0797), Cu at (0.0000, 0.1959, 0.3786) and Cu at (0.0000, 0.2961, 0.7083).

(17)
Here is a geometry-optimized PrZn10Cu2 structure from Alexandria via LeMat-Bulk. Energies are from PBE-GGA.

It has space group Fmmm (No. 69), with a = 4.9907 Å, b = 12.7755 Å, c = 12.8180 Å, α = 90.00°, β = 90.00° and γ = 90.00°. The distinct sites, in fractional coordinates, are Pr at (0.0000, 0.0000, 0.0000), Zn at (0.0000, 0.1140, 0.3920), Zn at (0.0000, 0.1811, 0.1727), Zn at (0.2500, 0.0000, 0.2500) and Cu at (0.2500, 0.2500, 0.0000).

(18)
Here is a geometry-optimized PrZn4Cu4 structure from Alexandria via LeMat-Bulk. Energies are from PBE-GGA.

It has space group I4/m (No. 87), with a = 8.3613 Å, b = 8.3613 Å, c = 4.3410 Å, α = 90.00°, β = 90.00° and γ = 90.00°. The distinct sites, in fractional coordinates, are Pr at (0.0000, 0.0000, 0.0000), Zn at (0.0989, 0.3895, 0.0000) and Cu at (0.1619, 0.2654, 0.5000).

(19)
Here is a geometry-optimized Pr2Zn6Cu3 structure from Alexandria via LeMat-Bulk. Energies are from PBE-GGA.

It has space group P-62m (No. 189), with a = 7.4716 Å, b = 7.4716 Å, c = 4.1987 Å, α = 90.00°, β = 90.00° and γ = 120.00°. The distinct sites, in fractional coordinates, are Pr at (0.3333, 0.6667, 0.0000), Zn at (0.0000, 0.2745, 0.5000), Zn at (0.0000, 0.8020, 0.0000) and Cu at (0.0000, 0.6133, 0.5000).

(20)
Here is a geometry-optimized Pr2Zn5Cu structure from Alexandria via LeMat-Bulk. Energies are from PBE-GGA.

It has space group Cmcm (No. 63), with a = 4.4035 Å, b = 16.4357 Å, c = 8.9347 Å, α = 90.00°, β = 90.00° and γ = 90.00°. The distinct sites, in fractional coordinates, are Pr at (0.0000, 0.0000, 0.0000), Pr at (0.0000, 0.2003, 0.2500), Zn at (0.0000, 0.1857, 0.6071), Zn at (0.0000, 0.3513, 0.5228), Zn at (0.0000, 0.4049, 0.2500) and Cu at (0.0000, 0.4435, 0.7500).

(21)
Here is a geometry-optimized PrZn2Cu2 structure from Alexandria via LeMat-Bulk. Energies are from PBE-GGA.

It has space group I4/mmm (No. 139), with a = 4.0706 Å, b = 4.0706 Å, c = 11.0021 Å, α = 90.00°, β = 90.00° and γ = 90.00°. The distinct sites, in fractional coordinates, are Pr at (0.0000, 0.0000, 0.0000), Zn at (0.0000, 0.5000, 0.2500) and Cu at (0.0000, 0.0000, 0.3878).

(22)
Here is a geometry-optimized Pr3Zn9Cu2 structure from Alexandria via LeMat-Bulk. Energies are from PBE-GGA.

It has space group Immm (No. 71), with a = 4.4533 Å, b = 8.9762 Å, c = 13.1523 Å, α = 90.00°, β = 90.00° and γ = 90.00°. The distinct sites, in fractional coordinates, are Pr at (0.0000, 0.0000, 0.0000), Pr at (0.0000, 0.0000, 0.3014), Zn at (0.0000, 0.2841, 0.1314), Zn at (0.0000, 0.3572, 0.3410), Zn at (0.0000, 0.5000, 0.0000) and Cu at (0.0000, 0.1907, 0.5000).

(23)
Here is a geometry-optimized Pr6Zn3Cu structure from Alexandria via LeMat-Bulk. Energies are from PBE-GGA.

It has space group P2_1/m (No. 11), with a = 9.6105 Å, b = 5.1404 Å, c = 11.7708 Å, α = 90.00°, β = 109.57° and γ = 90.00°. The distinct sites, in fractional coordinates, are Pr at (0.0149, 0.2500, 0.3980), Pr at (0.1542, 0.7500, 0.1871), Pr at (0.2231, 0.2500, 0.0051), Pr at (0.3759, 0.2500, 0.6368), Pr at (0.3757, 0.7500, 0.8529), Pr at (0.3826, 0.2500, 0.3568), Zn at (0.0424, 0.7500, 0.8795), Zn at (0.1225, 0.2500, 0.7310), Zn at (0.2618, 0.7500, 0.4755) and Cu at (0.4199, 0.7500, 0.1165).

| no. | formation enthalpy at 0 K (meV/atom) | E (eV/f.u.) | total magnetic moment (Bohr magnetons per cell) |
| --- | --- | --- | --- |
| 1 | -216.5 | -42.55 | 0.0 |
| 2 | 73.3 | -19.83 | 0.0 |
| 3 | -32.5 | -20.25 | 0.0 |
| 4 | -197.7 | -20.23 | 0.0 |
| 5 | -106.2 | -28.27 | 0.0 |
| 6 | -149.5 | -38.38 | 0.0 |
| 7 | -32.1 | -20.25 | 0.0 |
| 8 | -142.7 | -47.49 | 0.0 |
| 9 | 263.8 | -19.06 | 0.0 |
| 10 | -183.4 | -20.17 | 0.0 |
| 11 | -165.4 | -20.10 | 0.0 |
| 12 | -220.0 | -53.32 | 0.0 |
| 13 | -53.6 | -24.48 | 0.0 |
| 14 | 57.5 | -27.98 | 0.0 |
| 15 | -157.2 | -29.25 | 0.0 |
| 16 | -225.0 | -28.98 | 0.0 |
| 17 | -194.7 | -28.24 | 0.0 |
| 18 | -56.1 | -26.76 | 0.0 |
| 19 | -198.6 | -31.68 | 0.0 |
| 20 | -285.2 | -22.31 | 0.0 |
| 21 | -227.0 | -16.65 | 0.0 |
| 22 | -287.1 | -38.02 | 0.0 |
| 23 | -158.2 | -38.18 | 0.0 |